(1)
{
  "formula": "LiAsSe2",
  "functional": "GGA-PBE",
  "state": "relaxed",
  "n_ef_per_ev_fu": 0.000,
  "dft_energy_ev_per_cell": -60.95,
  "lattice_angstrom": [[5.887, 0.000, 0.000], [0.000, 5.887, 0.000], [0.000, 0.000, 12.482]],
  "species": ["Li", "Li", "Li", "Li", "As", "As", "As", "As", "Se", "Se", "Se", "Se", "Se", "Se", "Se", "Se"],
  "fractional_positions": [[0.000, 0.000, 0.000], [0.000, 0.500, 0.250], [0.500, 0.000, 0.750], [0.500, 0.500, 0.500], [0.000, 0.000, 0.500], [0.000, 0.500, 0.750], [0.500, 0.000, 0.250], [0.500, 0.500, 0.000], [0.249, 0.250, 0.125], [0.250, 0.749, 0.375], [0.250, 0.751, 0.875], [0.251, 0.250, 0.625], [0.749, 0.750, 0.625], [0.750, 0.249, 0.875], [0.750, 0.251, 0.375], [0.751, 0.750, 0.125]]
}

(2)
{
  "formula": "Li2AsSe",
  "functional": "GGA-PBE",
  "state": "relaxed",
  "n_ef_per_ev_fu": 2.701,
  "dft_energy_ev_per_cell": -55.16,
  "lattice_angstrom": [[7.308, 0.000, 0.000], [0.000, 7.308, 0.000], [0.000, 0.000, 5.453]],
  "species": ["Li", "Li", "Li", "Li", "Li", "Li", "Li", "Li", "As", "As", "As", "As", "Se", "Se", "Se", "Se"],
  "fractional_positions": [[0.227, 0.250, 0.125], [0.250, 0.727, 0.375], [0.250, 0.773, 0.875], [0.273, 0.250, 0.625], [0.727, 0.750, 0.625], [0.750, 0.227, 0.875], [0.750, 0.273, 0.375], [0.773, 0.750, 0.125], [0.000, 0.000, 0.500], [0.000, 0.500, 0.750], [0.500, 0.000, 0.250], [0.500, 0.500, 0.000], [0.000, 0.000, 0.000], [0.000, 0.500, 0.250], [0.500, 0.000, 0.750], [0.500, 0.500, 0.500]]
}

(3)
{
  "formula": "LiAsSe2",
  "functional": "GGA-PBE",
  "state": "relaxed",
  "dft_energy_ev_per_cell": -31.46,
  "lattice_angstrom": [[4.260, 0.000, 0.000], [0.000, 7.948, 0.000], [-3.874, 0.000, 5.371]],
  "species": ["Li", "Li", "As", "As", "Se", "Se", "Se", "Se"],
  "fractional_positions": [[0.000, 0.120, 0.000], [0.000, 0.880, 0.500], [0.036, 0.370, 0.511], [0.036, 0.630, 0.011], [0.382, 0.381, 0.978], [0.382, 0.619, 0.478], [0.389, 0.137, 0.503], [0.389, 0.863, 0.003]]
}

(4)
{
  "formula": "Li2SiAsSe",
  "functional": "GGA-PBE",
  "state": "relaxed",
  "n_ef_per_ev_fu": 2.669,
  "dft_energy_ev_per_cell": -16.60,
  "lattice_angstrom": [[4.968, 0.000, 0.000], [0.000, 4.968, 0.000], [0.000, 0.000, 4.521]],
  "species": ["Li", "Li", "Si", "As", "Se"],
  "fractional_positions": [[0.000, 0.500, 0.000], [0.500, 0.000, 0.000], [0.000, 0.000, 0.000], [0.000, 0.000, 0.500], [0.500, 0.500, 0.500]]
}

(5)
{
  "formula": "Li2SiAsSe4",
  "functional": "GGA-PBE",
  "state": "relaxed",
  "n_ef_per_ev_fu": 1.879,
  "dft_energy_ev_per_cell": -64.04,
  "lattice_angstrom": [[-3.760, 3.877, 5.436], [3.760, -3.877, 5.436], [3.760, 3.877, -5.436]],
  "species": ["Li", "Li", "Li", "Li", "Si", "Si", "As", "As", "Se", "Se", "Se", "Se", "Se", "Se", "Se", "Se"],
  "fractional_positions": [[0.000, 0.000, 0.000], [0.500, 0.000, 0.000], [0.500, 0.000, 0.500], [0.500, 0.500, 0.500], [0.000, 0.000, 0.500], [0.000, 0.500, 0.000], [0.000, 0.500, 0.500], [0.500, 0.500, 0.000], [0.235, 0.750, 0.486], [0.236, 0.250, 0.986], [0.242, 0.241, 0.499], [0.242, 0.742, 0.001], [0.758, 0.258, 0.999], [0.758, 0.759, 0.501], [0.764, 0.750, 0.014], [0.765, 0.250, 0.514]]
}

(6)
{
  "formula": "LiSi2AsSe6",
  "functional": "GGA-PBE",
  "state": "relaxed",
  "dft_energy_ev_per_cell": -84.66,
  "lattice_angstrom": [[6.495, -5.651, 0.000], [6.495, 5.651, 0.000], [-2.175, 0.000, 6.678]],
  "species": ["Li", "Li", "Si", "Si", "Si", "Si", "As", "As", "Se", "Se", "Se", "Se", "Se", "Se", "Se", "Se", "Se", "Se", "Se", "Se"],
  "fractional_positions": [[0.120, 0.880, 0.750], [0.880, 0.120, 0.250], [0.200, 0.386, 0.788], [0.386, 0.200, 0.288], [0.614, 0.800, 0.712], [0.800, 0.614, 0.212], [0.242, 0.758, 0.250], [0.758, 0.242, 0.750], [0.020, 0.190, 0.642], [0.075, 0.633, 0.875], [0.190, 0.020, 0.142], [0.315, 0.419, 0.529], [0.367, 0.925, 0.625], [0.419, 0.315, 0.029], [0.581, 0.685, 0.971], [0.633, 0.075, 0.375], [0.685, 0.581, 0.471], [0.810, 0.980, 0.858], [0.925, 0.367, 0.125], [0.980, 0.810, 0.358]]
}

(7)
{
  "formula": "LiSiAs2Se",
  "functional": "GGA-PBE",
  "state": "relaxed",
  "n_ef_per_ev_fu": 4.254,
  "dft_energy_ev_per_cell": -16.85,
  "lattice_angstrom": [[4.444, 0.000, 0.000], [0.000, 4.444, 0.000], [0.000, 0.000, 5.050]],
  "species": ["Li", "Si", "As", "As", "Se"],
  "fractional_positions": [[0.000, 0.000, 0.000], [0.500, 0.500, 0.500], [0.000, 0.500, 0.000], [0.500, 0.000, 0.000], [0.000, 0.000, 0.500]]
}

(8)
{
  "formula": "LiSiAsSe2",
  "functional": "GGA-PBE",
  "state": "relaxed",
  "n_ef_per_ev_fu": 3.305,
  "dft_energy_ev_per_cell": -16.20,
  "lattice_angstrom": [[4.825, 0.000, 0.000], [0.000, 4.825, 0.000], [0.000, 0.000, 4.357]],
  "species": ["Li", "Si", "As", "Se", "Se"],
  "fractional_positions": [[0.000, 0.000, 0.000], [0.500, 0.500, 0.500], [0.000, 0.000, 0.500], [0.000, 0.500, 0.000], [0.500, 0.000, 0.000]]
}